# CaLaHoEr

A relaxed structure of CaLaHoEr (PBE, Alexandria).

Formation energy from the elements (kJ/mol of atoms): 13.0
DOS at the Fermi energy (states/eV/cell): 26.4
SG: No. 216

a = 8.2189 Å, b = 8.2189 Å, c = 8.2189 Å
α = 90.00°, β = 90.00°, γ = 90.00°
Last column: nearest neighbours and their distance in Å.
Fractional coordinates of all 16 atoms:
Ca 0.0000 0.0000 0.0000  4 Ho 3.56, 4 La 3.56
Ca 0.0000 0.5000 0.5000  4 Ho 3.56, 4 La 3.56
Ca 0.5000 0.0000 0.5000  4 Ho 3.56, 4 La 3.56
Ca 0.5000 0.5000 0.0000  4 Ho 3.56, 4 La 3.56
La 0.2500 0.2500 0.2500  4 Er 3.56, 4 Ca 3.56
La 0.2500 0.7500 0.7500  4 Er 3.56, 4 Ca 3.56
La 0.7500 0.2500 0.7500  4 Er 3.56, 4 Ca 3.56
La 0.7500 0.7500 0.2500  4 Er 3.56, 4 Ca 3.56
Ho 0.2500 0.2500 0.7500  4 Er 3.56, 4 Ca 3.56
Ho 0.2500 0.7500 0.2500  4 Er 3.56, 4 Ca 3.56
Ho 0.7500 0.2500 0.2500  4 Er 3.56, 4 Ca 3.56
Ho 0.7500 0.7500 0.7500  4 Ca 3.56, 4 Er 3.56
Er 0.0000 0.0000 0.5000  4 La 3.56, 4 Ho 3.56
Er 0.0000 0.5000 0.0000  4 La 3.56, 4 Ho 3.56
Er 0.5000 0.0000 0.0000  4 La 3.56, 4 Ho 3.56
Er 0.5000 0.5000 0.5000  4 La 3.56, 4 Ho 3.56

=====

# CdReTeI2

A relaxed structure of CdReTeI2 (PBE, Alexandria).

Energy relative to the elements, uncorrected (eV/atom): 1.293
DOS at the Fermi energy (states/eV/cell): 3.5
SG: No. 123

a = 5.7673 Å, b = 5.7673 Å, c = 5.8238 Å
α = 90.00°, β = 90.00°, γ = 90.00°
Last column: nearest neighbours and their distance in Å.
Fractional coordinates of all 5 atoms:
Cd 0.0000 0.0000 0.0000  4 I 2.88, 2 Te 2.91
Re 0.5000 0.5000 0.5000  4 Te 4.08, 8 I 4.10
Te 0.0000 0.0000 0.5000  2 Cd 2.91
I 0.0000 0.5000 0.0000  2 Cd 2.88
I 0.5000 0.0000 0.0000  2 Cd 2.88

=====

# Cs5RbHg2O

A relaxed structure of Cs5RbHg2O (PBE, Alexandria).

Energy relative to the elements, uncorrected (eV/atom): -0.422
DOS at the Fermi energy (states/eV/cell): 6.6
SG: No. 107

a = 8.8636 Å, b = 8.8636 Å, c = 8.8636 Å
α = 119.42°, β = 119.42°, γ = 91.01°
Last column: nearest neighbours and their distance in Å.
Fractional coordinates of all 9 atoms:
Cs 0.0000 0.0000 0.0000  1 O 2.84
Cs 0.0037 0.0037 0.5422  1 O 2.89
Cs 0.0037 0.4615 0.0000  1 O 2.89
Cs 0.4615 0.0037 0.0000  1 O 2.89
Cs 0.4615 0.4615 0.4578  1 O 2.89
Rb 0.4574 0.4574 0.0000  1 O 2.85
Hg 0.4826 0.9826 0.5000  10 Cs 4.44-4.48, 2 Rb 4.48
Hg 0.9826 0.4826 0.5000  10 Cs 4.44-4.48, 2 Rb 4.48
O 0.2283 0.2283 0.0000  5 Cs 2.84-2.89, 1 Rb 2.85

=====

# YCr2In

A relaxed structure of YCr2In (PBE, Alexandria).

Formation energy from the elements (kJ/mol of atoms): 43.3
DOS at the Fermi energy (states/eV/cell): 11.5
SG: No. 160

a = 3.1779 Å, b = 3.1779 Å, c = 26.9166 Å
α = 90.00°, β = 90.00°, γ = 120.00°
Last column: nearest neighbours and their distance in Å.
Fractional coordinates of all 12 atoms:
Y 0.0000 0.0000 0.0000  3 Cr 3.01, 6 Y 3.18, 3 In 3.35
Y 0.3333 0.6667 0.6667  3 Cr 3.01, 6 Y 3.18, 3 In 3.35
Y 0.6667 0.3333 0.3333  3 Cr 3.01, 6 Y 3.18, 3 In 3.35
Cr 0.0000 0.0000 0.4769  3 Cr 2.35
Cr 0.0000 0.0000 0.7554  3 Cr 2.35
Cr 0.3333 0.6667 0.1435  3 Cr 2.35
Cr 0.3333 0.6667 0.4220  3 Cr 2.35
Cr 0.6667 0.3333 0.0887  3 Cr 2.35
Cr 0.6667 0.3333 0.8102  3 Cr 2.35
In 0.0000 0.0000 0.2292  3 Cr 2.95, 6 In 3.18
In 0.3333 0.6667 0.8958  3 Cr 2.95, 6 In 3.18
In 0.6667 0.3333 0.5625  3 Cr 2.95, 6 In 3.18

=====

# TiAg3P

A relaxed structure of TiAg3P (PBE, Alexandria).

Formation energy from the elements (kJ/mol of atoms): 57.0
DOS at the Fermi energy (states/eV/cell): 4.0
SG: No. 221

a = 4.7136 Å, b = 4.7136 Å, c = 4.7136 Å
α = 90.00°, β = 90.00°, γ = 90.00°
Last column: nearest neighbours and their distance in Å.
Fractional coordinates of all 5 atoms:
Ti 0.0000 0.0000 0.0000  12 Ag 3.33
Ag 0.0000 0.5000 0.5000  2 P 2.36
Ag 0.5000 0.0000 0.5000  2 P 2.36
Ag 0.5000 0.5000 0.0000  2 P 2.36
P 0.5000 0.5000 0.5000  6 Ag 2.36

=====

# Sm4Ho5Tl

A relaxed structure of Sm4Ho5Tl (PBE, Alexandria).

Formation energy from the elements (kJ/mol of atoms): 3.8
DOS at the Fermi energy (states/eV/cell): 17.2
SG: No. 123

a = 4.1340 Å, b = 4.1340 Å, c = 18.2792 Å
α = 90.00°, β = 90.00°, γ = 90.00°
Last column: nearest neighbours and their distance in Å.
Fractional coordinates of all 10 atoms:
Sm 0.0000 0.0000 0.1023  8 Ho 3.47-3.49, 2 Sm 3.67-3.74
Sm 0.0000 0.0000 0.3032  8 Ho 3.41-3.53, 1 Tl 3.60, 1 Sm 3.67
Sm 0.0000 0.0000 0.6968  8 Ho 3.41-3.53, 1 Tl 3.60, 1 Sm 3.67
Sm 0.0000 0.0000 0.8977  8 Ho 3.47-3.49, 2 Sm 3.67-3.74
Ho 0.5000 0.5000 0.0000  8 Sm 3.47, 2 Ho 3.78
Ho 0.5000 0.5000 0.2067  8 Sm 3.41-3.49, 2 Ho 3.74-3.78
Ho 0.5000 0.5000 0.4112  1 Ho 3.25, 4 Tl 3.34, 4 Sm 3.53
Ho 0.5000 0.5000 0.5888  1 Ho 3.25, 4 Tl 3.34, 4 Sm 3.53
Ho 0.5000 0.5000 0.7933  8 Sm 3.41-3.49, 2 Ho 3.74-3.78
Tl 0.0000 0.0000 0.5000  8 Ho 3.34, 2 Sm 3.60

=====

# PmHo2Ge

A relaxed structure of PmHo2Ge (PBE, Alexandria).

Formation energy from the elements (kJ/mol of atoms): -23.6
DOS at the Fermi energy (states/eV/cell): 17.0
SG: No. 160

a = 3.7510 Å, b = 3.7510 Å, c = 29.2338 Å
α = 90.00°, β = 90.00°, γ = 120.00°
Last column: nearest neighbours and their distance in Å.
Fractional coordinates of all 12 atoms:
Pm 0.0000 0.0000 0.0000  6 Ho 3.66-3.71, 6 Pm 3.75
Pm 0.3333 0.6667 0.6667  6 Ho 3.66-3.71, 6 Pm 3.75
Pm 0.6667 0.3333 0.3333  6 Ho 3.66-3.71, 6 Pm 3.75
Ho 0.0000 0.0000 0.2324  3 Ge 2.87
Ho 0.0000 0.0000 0.4363  3 Ge 2.88
Ho 0.3333 0.6667 0.1030  3 Ge 2.88
Ho 0.3333 0.6667 0.8990  3 Ge 2.87
Ho 0.6667 0.3333 0.5657  3 Ge 2.87
Ho 0.6667 0.3333 0.7696  3 Ge 2.88
Ge 0.0000 0.0000 0.8346  6 Ho 2.87-2.88
Ge 0.3333 0.6667 0.5012  6 Ho 2.87-2.88
Ge 0.6667 0.3333 0.1679  6 Ho 2.87-2.88

=====

# Na4HgAs

A relaxed structure of Na4HgAs (PBE, Alexandria).

Formation energy from the elements (kJ/mol of atoms): -25.1
DOS at the Fermi energy (states/eV/cell): 3.4
SG: No. 12

a = 8.9285 Å, b = 5.1691 Å, c = 8.5587 Å
α = 90.00°, β = 110.55°, γ = 90.00°
Last column: nearest neighbours and their distance in Å.
Fractional coordinates of all 12 atoms:
Na 0.1150 0.0000 0.3484  1 As 2.79
Na 0.1892 0.5000 0.0673  3 As 3.03, 3 Na 3.16-3.17
Na 0.3108 0.0000 0.9327  3 As 3.03, 3 Na 3.16-3.17
Na 0.3850 0.5000 0.6516  1 As 2.79
Na 0.6150 0.5000 0.3484  1 As 2.79
Na 0.6892 0.0000 0.0673  3 As 3.03, 3 Na 3.16-3.17
Na 0.8108 0.5000 0.9327  3 As 3.03, 3 Na 3.16-3.17
Na 0.8850 0.0000 0.6516  1 As 2.79
Hg 0.0000 0.5000 0.5000  6 Na 3.22
Hg 0.5000 0.0000 0.5000  6 Na 3.22
As 0.0000 0.0000 0.0000  8 Na 2.79-3.03
As 0.5000 0.5000 0.0000  8 Na 2.79-3.03

=====

Please write out number 7 again, unchanged.
# PmHo2Ge

A relaxed structure of PmHo2Ge (PBE, Alexandria).

Formation energy from the elements (kJ/mol of atoms): -23.6
DOS at the Fermi energy (states/eV/cell): 17.0
SG: No. 160

a = 3.7510 Å, b = 3.7510 Å, c = 29.2338 Å
α = 90.00°, β = 90.00°, γ = 120.00°
Last column: nearest neighbours and their distance in Å.
Fractional coordinates of all 12 atoms:
Pm 0.0000 0.0000 0.0000  6 Ho 3.66-3.71, 6 Pm 3.75
Pm 0.3333 0.6667 0.6667  6 Ho 3.66-3.71, 6 Pm 3.75
Pm 0.6667 0.3333 0.3333  6 Ho 3.66-3.71, 6 Pm 3.75
Ho 0.0000 0.0000 0.2324  3 Ge 2.87
Ho 0.0000 0.0000 0.4363  3 Ge 2.88
Ho 0.3333 0.6667 0.1030  3 Ge 2.88
Ho 0.3333 0.6667 0.8990  3 Ge 2.87
Ho 0.6667 0.3333 0.5657  3 Ge 2.87
Ho 0.6667 0.3333 0.7696  3 Ge 2.88
Ge 0.0000 0.0000 0.8346  6 Ho 2.87-2.88
Ge 0.3333 0.6667 0.5012  6 Ho 2.87-2.88
Ge 0.6667 0.3333 0.1679  6 Ho 2.87-2.88

=====

> Which value of DOS at the Fermi energy does entry 4 give?

11.5 states/eV/cell

=====

> DOS at the Fermi energy of number 6 (Sm4Ho5Tl)?

17.2 states/eV/cell